--- A ---
## GaCuHg (PBE)

Data for an optimized crystal structure of GaCuHg.

## Properties
Space-group type   I4mm

```
3
Lattice="-1.536 1.536 5.727 1.536 -1.536 5.727 1.536 1.536 -5.727" Properties=species:S:1:pos:R:3 pbc="T T T"
Ga 0.000 0.000 0.000
Cu 0.000 0.000 4.268
Hg 0.000 0.000 8.091
```

--- B ---
## GaCuHg (PBE)

Data for an optimized crystal structure of GaCuHg.

## Properties
Space-group type   F-43m

```
3
Lattice="0.000 3.071 3.071 3.071 0.000 3.071 3.071 3.071 0.000" Properties=species:S:1:pos:R:3 pbc="T T T"
Ga 0.000 0.000 0.000
Cu 4.607 4.607 4.607
Hg 3.071 3.071 3.071
```

B ends up most stable, edging out the next structure by 8 meV/atom.

--- A ---
## InGa2CuHg (PBE)

Data for an optimized crystal structure of InGa2CuHg.

## Properties
Space-group type   P4/mmm

```
5
Lattice="4.694 0.000 0.000 0.000 4.694 0.000 0.000 0.000 5.273" Properties=species:S:1:pos:R:3 pbc="T T T"
In 0.000 0.000 0.000
Ga 0.000 2.347 2.636
Ga 2.347 0.000 2.636
Cu 2.347 2.347 2.636
Hg 2.347 2.347 0.000
```

--- B ---
## InGa2CuHg (PBE)

Data for an optimized crystal structure of InGa2CuHg.

## Properties
Space-group type   P4/mmm

```
5
Lattice="4.728 0.000 0.000 0.000 4.728 0.000 0.000 0.000 5.195" Properties=species:S:1:pos:R:3 pbc="T T T"
In 0.000 0.000 0.000
Ga 0.000 2.364 2.597
Ga 2.364 0.000 2.597
Cu 0.000 0.000 2.597
Hg 2.364 2.364 0.000
```

B ends up most stable, edging out the next structure by 38 meV/atom.

--- A ---
## Ho2Ga3Cu2 (PBE)

Data for an optimized crystal structure of Ho2Ga3Cu2.

## Properties
Space-group type   Cmcm

```
14
Lattice="2.096 -9.051 0.000 2.096 9.051 0.000 0.000 0.000 6.911" Properties=species:S:1:pos:R:3 pbc="T T T"
Ho 2.096 8.082 5.183
Ho 2.096 6.164 1.728
Ho 2.096 -6.164 5.183
Ho 2.096 -8.082 1.728
Ga 2.096 4.999 5.183
Ga 2.096 1.136 3.934
Ga 2.096 1.136 6.432
Ga 2.096 -1.136 0.478
Ga 2.096 -1.136 2.977
Ga 2.096 -4.999 1.728
Cu 2.096 3.463 0.423
Cu 2.096 3.463 3.032
Cu 2.096 -3.463 3.879
Cu 2.096 -3.463 6.487
```

--- B ---
## Ho2Ga3Cu2 (PBE)

Data for an optimized crystal structure of Ho2Ga3Cu2.

## Properties
Space-group type   C2/m

```
7
Lattice="5.115 -2.098 0.000 5.115 2.098 0.000 -2.728 0.000 5.968" Properties=species:S:1:pos:R:3 pbc="T T T"
Ho 0.773 0.000 1.659
Ho 6.729 0.000 4.309
Ga 3.847 0.000 0.380
Ga 3.751 0.000 2.984
Ga 3.655 0.000 5.588
Cu -0.542 0.000 4.414
Cu 8.044 0.000 1.554
```

A ends up most stable, edging out the next structure by 20 meV/atom.